Material: TlReAgO3
Method: DFT, PBE
State: optimized geometry

Cell and atoms, written as POSCAR:
```
TlReAgO3
1.0
-5.8517 4.8672 -6.9701
-1.1045 -2.5523 -0.8550
-8.5286 1.0472 7.8915
Ag O Re Tl
4 12 4 4
direct
0.4016 0.0000 0.0642
0.9016 0.5000 0.4358
0.0984 0.0000 0.5642
0.5984 0.5000 0.9358
0.7286 0.0000 0.0754
0.1816 0.0000 0.1054
0.9528 0.5000 0.1180
0.4528 0.0000 0.3820
0.6816 0.5000 0.3947
0.2286 0.5000 0.4246
0.7714 0.0000 0.5754
0.3184 0.0000 0.6053
0.5472 0.5000 0.6180
0.0472 0.0000 0.8820
0.8184 0.5000 0.8946
0.2714 0.5000 0.9246
0.8941 0.0000 0.0012
0.3941 0.5000 0.4988
0.6059 0.0000 0.5012
0.1059 0.5000 0.9988
0.5935 0.5000 0.2023
0.0935 0.0000 0.2977
0.9065 0.5000 0.7023
0.4065 0.0000 0.7977
```

Properties
Its space-group type is Pnma (62). The value obtained for the volume is 350.3 Å³/cell. Its energy is -148.55 eV for the cell shown.

Material: TmRe4Ag3O12
Method: DFT, PBE
State: optimized geometry

Cell and atoms, written as POSCAR:
```
TmRe4Ag3O12
1.0
-3.8644 3.8644 3.8644
3.8644 -3.8644 3.8644
3.8644 3.8644 -3.8644
Ag O Re Tm
3 12 4 1
direct
0.5000 0.5000 0.0000
0.5000 0.0000 0.5000
0.0000 0.5000 0.5000
0.2674 0.7927 0.0601
0.4747 0.2674 0.2073
0.9399 0.7326 0.2073
0.7927 0.0601 0.2674
0.2073 0.4747 0.2674
0.2674 0.2073 0.4747
0.7326 0.7927 0.5253
0.7927 0.5253 0.7326
0.2073 0.9399 0.7326
0.0601 0.2674 0.7927
0.5253 0.7326 0.7927
0.7326 0.2073 0.9399
0.5000 0.0000 0.0000
0.0000 0.5000 0.0000
0.0000 0.0000 0.5000
0.5000 0.5000 0.5000
0.0000 0.0000 0.0000
```

Properties
Its space-group type is Im-3 (204). The value obtained for the volume is 230.8 Å³/cell. Its energy is -146.15 eV for the cell shown.

Material: Ag2SO
Method: DFT, PBE
State: optimized geometry

Cell and atoms, written as POSCAR:
```
Ag2SO
1.0
0.0510 -3.1480 -1.2609
-5.0278 -0.6835 1.5029
-2.1232 0.8321 -6.7244
Ag O S
4 2 2
direct
0.4219 0.7500 0.1561
0.8624 0.2500 0.2752
0.1376 0.7500 0.7248
0.5781 0.2500 0.8439
0.0000 0.0000 0.0000
0.0000 0.5000 0.0000
0.7945 0.7500 0.4111
0.2055 0.2500 0.5889
```

Properties
Its space-group type is Cmcm (63). The value obtained for the volume is 123.8 Å³/cell. Its energy is -27.80 eV for the cell shown.

Material: AgSO3
Method: DFT, PBE
State: optimized geometry

Cell and atoms, written as POSCAR:
```
AgSO3
1.0
6.1040 0.0000 0.0000
0.0000 7.8854 0.0000
0.0000 0.0000 5.3506
Ag O S
4 12 4
direct
0.5000 0.0000 0.0000
0.5000 0.5000 0.0000
0.0000 0.0000 0.5000
0.0000 0.5000 0.5000
0.8241 0.5931 0.1206
0.8241 0.9069 0.1206
0.6150 0.2500 0.2317
0.1150 0.2500 0.2683
0.3241 0.5931 0.3794
0.3241 0.9069 0.3794
0.6759 0.0931 0.6206
0.6759 0.4069 0.6206
0.8850 0.7500 0.7317
0.3850 0.7500 0.7683
0.1759 0.0931 0.8794
0.1759 0.4069 0.8794
0.9354 0.7500 0.0096
0.4354 0.7500 0.4904
0.5646 0.2500 0.5096
0.0646 0.2500 0.9904
```

Properties
Its space-group type is Pnma (62). The value obtained for the volume is 257.5 Å³/cell. Its energy is -101.45 eV for the cell shown.

Material: Ag2SO
Method: DFT, PBE
State: optimized geometry

Cell and atoms, written as POSCAR:
```
Ag2SO
1.0
1.6848 -6.0493 0.0000
1.6848 6.0493 0.0000
0.0000 0.0000 6.5404
Ag O S
4 2 2
direct
0.9971 0.0029 0.2133
0.2714 0.7286 0.4665
0.0029 0.9971 0.7133
0.7286 0.2714 0.9665
0.8863 0.1137 0.4673
0.1137 0.8863 0.9673
0.6274 0.3726 0.4603
0.3726 0.6274 0.9603
```

Properties
Its space-group type is Cmc2_1 (36). The value obtained for the volume is 133.3 Å³/cell. Its energy is -29.41 eV for the cell shown.

Material: Ag2SO
Method: DFT, PBE
State: optimized geometry

Cell and atoms, written as POSCAR:
```
Ag2SO
1.0
5.6741 -0.0019 0.3496
-0.0020 5.8396 0.0001
0.1730 0.0001 8.9166
Ag O S
8 4 4
direct
0.9882 0.7720 0.0997
0.4925 0.2644 0.1147
0.9690 0.3649 0.3610
0.5296 0.8457 0.4838
0.4703 0.3456 0.5162
0.0310 0.8647 0.6390
0.5076 0.7645 0.8857
0.0118 0.2719 0.9007
0.2335 0.5103 0.0000
0.2891 0.9605 0.0374
0.7113 0.4604 0.9629
0.7668 0.0099 0.9988
0.6685 0.5881 0.2607
0.2793 0.0944 0.3393
0.7203 0.5944 0.6608
0.3312 0.0883 0.7394
```

Properties
Its space-group type is P1 (1). The value obtained for the volume is 295.1 Å³/cell. Its energy is -56.01 eV for the cell shown.

Material: AgSO4
Method: DFT, PBE
State: optimized geometry

Cell and atoms, written as POSCAR:
```
AgSO4
1.0
-1.4789 -5.2658 -7.6548
5.4052 -6.5843 3.9967
-7.5270 3.0441 4.7829
Ag O S
8 32 8
direct
0.0000 0.0000 0.0000
0.5000 0.0000 0.0000
0.0000 0.5000 0.0000
0.5000 0.5000 0.0000
0.0000 0.0000 0.5000
0.5000 0.0000 0.5000
0.0000 0.5000 0.5000
0.5000 0.5000 0.5000
0.8007 0.8899 0.0097
0.6270 0.7139 0.0204
0.1839 0.7048 0.0703
0.3853 0.8702 0.0809
0.2106 0.4093 0.1191
0.7255 0.4461 0.1511
0.9038 0.2807 0.2111
0.9408 0.7893 0.2232
0.2111 0.0602 0.2774
0.7192 0.0961 0.2886
0.5536 0.2742 0.3489
0.5904 0.7895 0.3806
0.1303 0.6145 0.4192
0.2955 0.8160 0.4297
0.2870 0.3739 0.4817
0.1105 0.1996 0.4912
0.8895 0.8004 0.5088
0.7130 0.6261 0.5183
0.7045 0.1840 0.5703
0.8697 0.3855 0.5808
0.4096 0.2105 0.6194
0.4464 0.7258 0.6511
0.2808 0.9039 0.7114
0.7889 0.9398 0.7226
0.0592 0.2107 0.7768
0.0962 0.7193 0.7889
0.2745 0.5539 0.8489
0.7894 0.5907 0.8809
0.6147 0.1298 0.9191
0.8161 0.2952 0.9297
0.3730 0.2861 0.9796
0.1993 0.1101 0.9903
0.7912 0.7463 0.0354
0.7644 0.2895 0.0539
0.7101 0.2360 0.4462
0.2541 0.2092 0.4651
0.7459 0.7908 0.5349
0.2899 0.7640 0.5538
0.2356 0.7104 0.9461
0.2088 0.2537 0.9646
```

Properties
Its space-group type is P-1 (2). The value obtained for the volume is 612.5 Å³/cell. Its energy is -256.86 eV for the cell shown.

Material: Ag2SO
Method: DFT, PBE
State: optimized geometry

Cell and atoms, written as POSCAR:
```
Ag2SO
1.0
-2.3954 -1.9986 1.5846
3.3586 -0.9810 -0.0233
1.8962 6.2368 10.7326
Ag O S
4 2 2
direct
0.3333 0.6667 0.2467
0.0000 0.0000 0.4926
0.6667 0.3333 0.7467
0.0000 0.0000 0.9926
0.0000 0.0000 0.3245
0.0000 0.0000 0.8245
0.6667 0.3334 0.1239
0.3333 0.6666 0.6239
```

Properties
Its space-group type is P6_3mc (186). The value obtained for the volume is 133.1 Å³/cell. Its energy is -28.56 eV for the cell shown.

Material: Ag2S2O7
Method: DFT, PBE
State: optimized geometry

Cell and atoms, written as POSCAR:
```
Ag2S2O7
1.0
-5.2942 3.6754 1.8901
0.9324 -1.1199 6.6506
1.1664 6.6258 1.3239
Ag O S
4 14 4
direct
0.7976 0.1166 0.2210
0.2100 0.3657 0.4203
0.7900 0.6343 0.5797
0.2024 0.8834 0.7790
0.4984 0.7456 0.0847
0.1303 0.3962 0.1036
0.1649 0.9377 0.1524
0.6084 0.4385 0.2330
0.7594 0.7471 0.2546
0.3837 0.0268 0.3385
0.1761 0.7324 0.4542
0.8239 0.2676 0.5458
0.6163 0.9732 0.6615
0.2406 0.2529 0.7454
0.3916 0.5615 0.7670
0.8351 0.0623 0.8476
0.8697 0.6038 0.8964
0.5016 0.2544 0.9153
0.7037 0.6218 0.1224
0.2900 0.8720 0.2720
0.7100 0.1280 0.7280
0.2963 0.3782 0.8776
```

Properties
Its space-group type is P-1 (2). The value obtained for the volume is 279.3 Å³/cell. Its energy is -118.04 eV for the cell shown.

Material: AgSO4
Method: DFT, PBE
State: optimized geometry

Cell and atoms, written as POSCAR:
```
AgSO4
1.0
-3.9427 1.9989 2.0752
-2.4830 -0.8561 -4.1168
2.2693 -3.6984 2.2402
Ag O S
1 4 1
direct
0.5000 0.5000 0.0000
0.1673 0.7262 0.1502
0.2738 0.4240 0.4411
0.9829 0.8327 0.5589
0.5760 0.0171 0.8498
0.2500 0.7500 0.5000
```

Properties
Its space-group type is I-4 (82). The value obtained for the volume is 83.1 Å³/cell. Its energy is -31.52 eV for the cell shown.

Material: Ag2SO
Method: DFT, PBE
State: optimized geometry

Cell and atoms, written as POSCAR:
```
Ag2SO
1.0
6.4060 0.0000 0.0000
0.0000 3.3958 0.0000
0.0000 0.0000 12.0341
Ag O S
8 4 4
direct
0.2571 0.7500 0.0171
0.5424 0.2500 0.2490
0.0424 0.2500 0.2510
0.7571 0.7500 0.4829
0.2429 0.2500 0.5171
0.9576 0.7500 0.7490
0.4576 0.7500 0.7510
0.7429 0.2500 0.9829
0.2921 0.2500 0.1302
0.7921 0.2500 0.3698
0.2079 0.7500 0.6302
0.7079 0.7500 0.8698
0.7945 0.7500 0.1253
0.2945 0.7500 0.3747
0.7055 0.2500 0.6253
0.2055 0.2500 0.8747
```

Properties
Its space-group type is Pnma (62). The value obtained for the volume is 261.8 Å³/cell. Its energy is -58.73 eV for the cell shown.

Material: Ag2S5O16
Method: DFT, PBE
State: optimized geometry

Cell and atoms, written as POSCAR:
```
Ag2S5O16
1.0
-8.4762 -1.6097 -1.6500
1.9918 -10.0760 -0.4023
-2.4066 -1.0086 13.3469
Ag O S
8 64 20
direct
0.7312 0.0138 0.0385
0.7688 0.5138 0.0385
0.2688 0.0138 0.4615
0.2312 0.5138 0.4615
0.7688 0.4862 0.5385
0.7312 0.9862 0.5385
0.2312 0.4862 0.9615
0.2688 0.9862 0.9615
0.1807 0.1974 0.0143
0.3193 0.6974 0.0143
0.9979 0.3702 0.0456
0.5021 0.8702 0.0456
0.9391 0.1455 0.0994
0.5609 0.6455 0.0994
0.2882 0.4570 0.1401
0.2118 0.9570 0.1401
0.4188 0.2538 0.1734
0.0812 0.7538 0.1734
0.7028 0.3747 0.1877
0.7972 0.8747 0.1877
0.6098 0.0910 0.1922
0.8902 0.5910 0.1922
0.1356 0.2673 0.1946
0.3644 0.7673 0.1946
0.8644 0.2673 0.3054
0.6356 0.7673 0.3054
0.3902 0.0910 0.3078
0.1098 0.5910 0.3078
0.2972 0.3747 0.3123
0.2028 0.8747 0.3123
0.5812 0.2538 0.3266
0.9188 0.7538 0.3266
0.7118 0.4570 0.3599
0.7882 0.9570 0.3599
0.0609 0.1455 0.4006
0.4391 0.6455 0.4006
0.0021 0.3702 0.4544
0.4979 0.8702 0.4544
0.8193 0.1974 0.4857
0.6807 0.6974 0.4857
0.3193 0.3026 0.5143
0.1807 0.8026 0.5143
0.5021 0.1298 0.5456
0.9979 0.6298 0.5456
0.5609 0.3545 0.5994
0.9391 0.8545 0.5994
0.2118 0.0430 0.6401
0.2882 0.5430 0.6401
0.0812 0.2462 0.6734
0.4188 0.7462 0.6734
0.7972 0.1253 0.6877
0.7028 0.6253 0.6877
0.8902 0.4090 0.6922
0.6098 0.9090 0.6922
0.3644 0.2327 0.6946
0.1356 0.7327 0.6946
0.6356 0.2327 0.8054
0.8644 0.7327 0.8054
0.1098 0.4090 0.8078
0.3902 0.9090 0.8078
0.2028 0.1253 0.8123
0.2972 0.6253 0.8123
0.9188 0.2462 0.8266
0.5812 0.7462 0.8266
0.7882 0.0430 0.8599
0.7118 0.5430 0.8599
0.4391 0.3545 0.9006
0.0609 0.8545 0.9006
0.4979 0.1298 0.9544
0.0021 0.6298 0.9544
0.6807 0.3026 0.9857
0.8193 0.8026 0.9857
0.0497 0.2403 0.0697
0.4503 0.7403 0.0697
0.2749 0.3536 0.2099
0.2251 0.8536 0.2099
0.5000 0.1581 0.2500
0.0000 0.6581 0.2500
0.7251 0.3536 0.2901
0.7749 0.8536 0.2901
0.9503 0.2403 0.4303
0.5497 0.7403 0.4303
0.4503 0.2597 0.5697
0.0497 0.7597 0.5697
0.2251 0.1464 0.7099
0.2749 0.6464 0.7099
0.0000 0.3419 0.7500
0.5000 0.8419 0.7500
0.7749 0.1464 0.7901
0.7251 0.6464 0.7901
0.5497 0.2597 0.9303
0.9503 0.7597 0.9303
```

Properties
Its space-group type is Pbcn (60). The value obtained for the volume is 1227.9 Å³/cell. Its energy is -514.62 eV for the cell shown.

Material: Ag2SO5
Method: DFT, PBE
State: optimized geometry

Cell and atoms, written as POSCAR:
```
Ag2SO5
1.0
4.8847 -3.4008 0.0000
4.8847 3.4008 0.0000
-3.5502 0.0000 6.6452
Ag O S
4 10 2
direct
0.5000 0.0000 0.0000
0.0000 0.5000 0.0000
0.0885 0.0885 0.2639
0.9115 0.9115 0.7361
0.8643 0.8643 0.0073
0.6845 0.6845 0.2193
0.6599 0.3003 0.2536
0.3003 0.6599 0.2536
0.3286 0.3286 0.4661
0.6714 0.6714 0.5339
0.6997 0.3401 0.7464
0.3401 0.6997 0.7464
0.3155 0.3155 0.7807
0.1357 0.1357 0.9927
0.5821 0.5821 0.3120
0.4179 0.4179 0.6880
```

Properties
Its space-group type is C2/m (12). The value obtained for the volume is 220.8 Å³/cell. Its energy is -79.73 eV for the cell shown.